DFT (PBE) results for a relaxed structure of ZnOsNO. Values from VASP.

Geometry as Quantum ESPRESSO input:
```
&SYSTEM
  ibrav = 0, nat = 8, ntyp = 4
/
ATOMIC_SPECIES
Zn 65.41 Zn.upf
Os 190.23 Os.upf
N 14.01 N.upf
O 16.00 O.upf
ATOMIC_POSITIONS crystal
Zn 0.250 0.250 0.087
Zn 0.750 0.750 0.913
Os 0.250 0.750 0.500
Os 0.750 0.250 0.500
N 0.250 0.250 0.624
N 0.750 0.750 0.376
O 0.250 0.750 0.000
O 0.750 0.250 0.000
CELL_PARAMETERS angstrom
3.786 0.000 0.000
0.000 3.786 0.000
0.000 0.000 6.859
```

DFT (PBE) results for a relaxed structure of ZnOsNO. Values from VASP.

Geometry as Quantum ESPRESSO input:
```
&SYSTEM
  ibrav = 0, nat = 8, ntyp = 4
/
ATOMIC_SPECIES
Zn 65.41 Zn.upf
Os 190.23 Os.upf
N 14.01 N.upf
O 16.00 O.upf
ATOMIC_POSITIONS crystal
Zn 0.250 0.750 0.000
Zn 0.750 0.250 0.000
Os 0.250 0.250 0.328
Os 0.750 0.750 0.672
N 0.250 0.250 0.801
N 0.750 0.750 0.199
O 0.250 0.750 0.500
O 0.750 0.250 0.500
CELL_PARAMETERS angstrom
3.442 0.000 0.000
0.000 3.442 0.000
0.000 0.000 7.100
```

DFT (PBE) results for a relaxed structure of ZnOsNO. Values from VASP.

Geometry as Quantum ESPRESSO input:
```
&SYSTEM
  ibrav = 0, nat = 16, ntyp = 4
/
ATOMIC_SPECIES
Zn 65.41 Zn.upf
Os 190.23 Os.upf
N 14.01 N.upf
O 16.00 O.upf
ATOMIC_POSITIONS crystal
Zn 0.100 0.104 0.000
Zn 0.400 0.104 0.500
Zn 0.600 0.896 0.000
Zn 0.900 0.896 0.500
Os 0.090 0.567 0.018
Os 0.410 0.567 0.518
Os 0.590 0.433 0.018
Os 0.910 0.433 0.518
N 0.066 0.672 0.636
N 0.434 0.672 0.136
N 0.566 0.328 0.636
N 0.934 0.328 0.136
O 0.032 0.144 0.605
O 0.468 0.144 0.105
O 0.532 0.856 0.605
O 0.968 0.856 0.105
CELL_PARAMETERS angstrom
5.178 0.000 0.000
0.000 7.187 0.000
0.000 0.000 4.882
```

DFT (PBE) results for a relaxed structure of PaPbNO. Values from VASP.

Geometry as Quantum ESPRESSO input:
```
&SYSTEM
  ibrav = 0, nat = 8, ntyp = 4
/
ATOMIC_SPECIES
Pa 231.04 Pa.upf
Pb 207.20 Pb.upf
N 14.01 N.upf
O 16.00 O.upf
ATOMIC_POSITIONS crystal
Pa 0.000 0.163 0.000
Pa 0.000 0.837 0.500
Pb 0.500 0.261 0.482
Pb 0.500 0.739 0.982
N 0.000 0.095 0.322
N 0.000 0.905 0.822
O 0.500 0.298 0.953
O 0.500 0.702 0.453
CELL_PARAMETERS angstrom
3.824 0.000 0.000
0.000 7.174 0.000
0.000 0.000 6.628
```

DFT (PBE) results for a relaxed structure of PaPbNO. Values from VASP.

Geometry as Quantum ESPRESSO input:
```
&SYSTEM
  ibrav = 0, nat = 8, ntyp = 4
/
ATOMIC_SPECIES
Pa 231.04 Pa.upf
Pb 207.20 Pb.upf
N 14.01 N.upf
O 16.00 O.upf
ATOMIC_POSITIONS crystal
Pa 0.250 0.750 0.000
Pa 0.750 0.250 0.000
Pb 0.250 0.250 0.397
Pb 0.750 0.750 0.603
N 0.250 0.250 0.910
N 0.750 0.750 0.090
O 0.250 0.750 0.500
O 0.750 0.250 0.500
CELL_PARAMETERS angstrom
4.586 0.000 0.000
0.000 4.586 0.000
0.000 0.000 7.350
```

DFT (PBE) results for a relaxed structure of PaPbNO. Values from VASP.

Geometry as Quantum ESPRESSO input:
```
&SYSTEM
  ibrav = 0, nat = 16, ntyp = 4
/
ATOMIC_SPECIES
Pa 231.04 Pa.upf
Pb 207.20 Pb.upf
N 14.01 N.upf
O 16.00 O.upf
ATOMIC_POSITIONS crystal
Pa 0.003 0.147 0.000
Pa 0.497 0.147 0.500
Pa 0.503 0.853 0.000
Pa 0.997 0.853 0.500
Pb 0.008 0.363 0.498
Pb 0.492 0.363 0.998
Pb 0.508 0.637 0.498
Pb 0.992 0.637 0.998
N 0.068 0.608 0.506
N 0.432 0.608 0.006
N 0.568 0.392 0.506
N 0.932 0.392 0.006
O 0.249 0.995 0.257
O 0.251 0.995 0.757
O 0.749 0.005 0.257
O 0.751 0.005 0.757
CELL_PARAMETERS angstrom
5.763 0.000 0.000
0.000 8.742 0.000
0.000 0.000 5.816
```

DFT (PBE) results for a relaxed structure of PaPbNO. Values from VASP.

Geometry as Quantum ESPRESSO input:
```
&SYSTEM
  ibrav = 0, nat = 8, ntyp = 4
/
ATOMIC_SPECIES
Pa 231.04 Pa.upf
Pb 207.20 Pb.upf
N 14.01 N.upf
O 16.00 O.upf
ATOMIC_POSITIONS crystal
Pa 0.000 0.220 0.000
Pa 0.000 0.780 0.500
Pb 0.500 0.335 0.506
Pb 0.500 0.665 0.006
N 0.500 0.327 0.961
N 0.500 0.673 0.461
O 0.000 0.001 0.751
O 0.000 0.999 0.251
CELL_PARAMETERS angstrom
4.099 0.000 0.000
0.000 6.975 0.000
0.000 0.000 5.997
```

DFT (PBE) results for a relaxed structure of PaPbNO. Values from VASP.

Geometry as Quantum ESPRESSO input:
```
&SYSTEM
  ibrav = 0, nat = 8, ntyp = 4
/
ATOMIC_SPECIES
Pa 231.04 Pa.upf
Pb 207.20 Pb.upf
N 14.01 N.upf
O 16.00 O.upf
ATOMIC_POSITIONS crystal
Pa 0.250 0.750 0.000
Pa 0.750 0.250 0.000
Pb 0.250 0.250 0.499
Pb 0.750 0.750 0.501
N 0.250 0.250 0.993
N 0.750 0.750 0.007
O 0.250 0.750 0.500
O 0.750 0.250 0.500
CELL_PARAMETERS angstrom
5.164 0.000 0.000
0.000 5.164 0.000
0.000 0.000 5.114
```

DFT (PBE) results for a relaxed structure of PaPbNO. Values from VASP.

Geometry as Quantum ESPRESSO input:
```
&SYSTEM
  ibrav = 0, nat = 8, ntyp = 4
/
ATOMIC_SPECIES
Pa 231.04 Pa.upf
Pb 207.20 Pb.upf
N 14.01 N.upf
O 16.00 O.upf
ATOMIC_POSITIONS crystal
Pa 0.250 0.250 0.150
Pa 0.750 0.750 0.850
Pb 0.250 0.750 0.500
Pb 0.750 0.250 0.500
N 0.250 0.250 0.751
N 0.750 0.750 0.249
O 0.250 0.750 0.000
O 0.750 0.250 0.000
CELL_PARAMETERS angstrom
3.904 0.000 0.000
0.000 3.904 0.000
0.000 0.000 9.055
```

DFT (PBE) results for a relaxed structure of PmPaNO. Values from VASP.

Geometry as Quantum ESPRESSO input:
```
&SYSTEM
  ibrav = 0, nat = 8, ntyp = 4
/
ATOMIC_SPECIES
Pm 145.00 Pm.upf
Pa 231.04 Pa.upf
N 14.01 N.upf
O 16.00 O.upf
ATOMIC_POSITIONS crystal
Pm 0.250 0.750 0.000
Pm 0.750 0.250 0.000
Pa 0.250 0.250 0.349
Pa 0.750 0.750 0.651
N 0.250 0.250 0.802
N 0.750 0.750 0.198
O 0.250 0.750 0.500
O 0.750 0.250 0.500
CELL_PARAMETERS angstrom
3.990 0.000 0.000
0.000 3.990 0.000
0.000 0.000 8.528
```

DFT (PBE) results for a relaxed structure of PmPaNO. Values from VASP.

Geometry as Quantum ESPRESSO input:
```
&SYSTEM
  ibrav = 0, nat = 16, ntyp = 4
/
ATOMIC_SPECIES
Pm 145.00 Pm.upf
Pa 231.04 Pa.upf
N 14.01 N.upf
O 16.00 O.upf
ATOMIC_POSITIONS crystal
Pm 0.084 0.127 0.000
Pm 0.416 0.127 0.500
Pm 0.584 0.873 0.000
Pm 0.916 0.873 0.500
Pa 0.054 0.618 0.000
Pa 0.446 0.618 0.500
Pa 0.554 0.382 0.000
Pa 0.946 0.382 0.500
N 0.064 0.130 0.499
N 0.436 0.130 0.999
N 0.564 0.870 0.499
N 0.936 0.870 0.999
O 0.101 0.638 0.500
O 0.399 0.638 0.000
O 0.601 0.362 0.500
O 0.899 0.362 0.000
CELL_PARAMETERS angstrom
6.832 0.000 0.000
0.000 8.435 0.000
0.000 0.000 5.195
```

DFT (PBE) results for a relaxed structure of PmPaNO. Values from VASP.

Geometry as Quantum ESPRESSO input:
```
&SYSTEM
  ibrav = 0, nat = 8, ntyp = 4
/
ATOMIC_SPECIES
Pm 145.00 Pm.upf
Pa 231.04 Pa.upf
N 14.01 N.upf
O 16.00 O.upf
ATOMIC_POSITIONS crystal
Pm 0.250 0.250 0.116
Pm 0.750 0.750 0.884
Pa 0.250 0.750 0.500
Pa 0.750 0.250 0.500
N 0.250 0.250 0.627
N 0.750 0.750 0.373
O 0.250 0.750 0.000
O 0.750 0.250 0.000
CELL_PARAMETERS angstrom
4.280 0.000 0.000
0.000 4.280 0.000
0.000 0.000 8.392
```

DFT (PBE) results for a relaxed structure of PmPaNO. Values from VASP.

Geometry as Quantum ESPRESSO input:
```
&SYSTEM
  ibrav = 0, nat = 8, ntyp = 4
/
ATOMIC_SPECIES
Pm 145.00 Pm.upf
Pa 231.04 Pa.upf
N 14.01 N.upf
O 16.00 O.upf
ATOMIC_POSITIONS crystal
Pm 0.000 0.169 0.000
Pm 0.000 0.831 0.500
Pa 0.500 0.333 0.503
Pa 0.500 0.667 0.003
N 0.500 0.356 0.866
N 0.500 0.644 0.366
O 0.000 0.178 0.395
O 0.000 0.822 0.895
CELL_PARAMETERS angstrom
3.885 0.000 0.000
0.000 6.669 0.000
0.000 0.000 6.113
```

DFT (PBE) results for a relaxed structure of PmPaNO. Values from VASP.

Geometry as Quantum ESPRESSO input:
```
&SYSTEM
  ibrav = 0, nat = 8, ntyp = 4
/
ATOMIC_SPECIES
Pm 145.00 Pm.upf
Pa 231.04 Pa.upf
N 14.01 N.upf
O 16.00 O.upf
ATOMIC_POSITIONS crystal
Pm 0.000 0.169 0.000
Pm 0.000 0.831 0.500
Pa 0.500 0.336 0.488
Pa 0.500 0.664 0.988
N 0.000 0.178 0.405
N 0.000 0.822 0.905
O 0.500 0.339 0.850
O 0.500 0.661 0.350
CELL_PARAMETERS angstrom
3.850 0.000 0.000
0.000 6.652 0.000
0.000 0.000 6.181
```

DFT (PBE) results for a relaxed structure of RbPaNO. Values from VASP.

Geometry as Quantum ESPRESSO input:
```
&SYSTEM
  ibrav = 0, nat = 8, ntyp = 4
/
ATOMIC_SPECIES
Rb 85.47 Rb.upf
Pa 231.04 Pa.upf
N 14.01 N.upf
O 16.00 O.upf
ATOMIC_POSITIONS crystal
Rb 0.250 0.750 0.998
Rb 0.750 0.250 0.002
Pa 0.250 0.250 0.500
Pa 0.750 0.750 0.500
N 0.250 0.750 0.498
N 0.750 0.250 0.502
O 0.250 0.250 0.000
O 0.750 0.750 0.000
CELL_PARAMETERS angstrom
3.624 -3.758 0.000
3.624 3.758 0.000
0.000 0.000 5.154
```

DFT (PBE) results for a relaxed structure of RbPaNO. Values from VASP.

Geometry as Quantum ESPRESSO input:
```
&SYSTEM
  ibrav = 0, nat = 8, ntyp = 4
/
ATOMIC_SPECIES
Rb 85.47 Rb.upf
Pa 231.04 Pa.upf
N 14.01 N.upf
O 16.00 O.upf
ATOMIC_POSITIONS crystal
Rb 0.250 0.750 0.000
Rb 0.750 0.250 0.000
Pa 0.250 0.250 0.352
Pa 0.750 0.750 0.648
N 0.250 0.250 0.766
N 0.750 0.750 0.234
O 0.250 0.750 0.500
O 0.750 0.250 0.500
CELL_PARAMETERS angstrom
3.839 0.000 0.000
0.000 3.839 0.000
0.000 0.000 9.354
```

DFT (PBE) results for a relaxed structure of RbPaNO. Values from VASP.

Geometry as Quantum ESPRESSO input:
```
&SYSTEM
  ibrav = 0, nat = 16, ntyp = 4
/
ATOMIC_SPECIES
Rb 85.47 Rb.upf
Pa 231.04 Pa.upf
N 14.01 N.upf
O 16.00 O.upf
ATOMIC_POSITIONS crystal
Rb 0.084 0.128 0.000
Rb 0.416 0.128 0.500
Rb 0.584 0.872 0.000
Rb 0.916 0.872 0.500
Pa 0.087 0.607 0.994
Pa 0.413 0.607 0.494
Pa 0.587 0.393 0.994
Pa 0.913 0.393 0.494
N 0.119 0.565 0.640
N 0.381 0.565 0.140
N 0.619 0.435 0.640
N 0.881 0.435 0.140
O 0.015 0.172 0.545
O 0.485 0.172 0.045
O 0.515 0.828 0.545
O 0.985 0.828 0.045
CELL_PARAMETERS angstrom
6.991 0.000 0.000
0.000 8.801 0.000
0.000 0.000 6.329
```

DFT (PBE) results for a relaxed structure of RbPaNO. Values from VASP.

Geometry as Quantum ESPRESSO input:
```
&SYSTEM
  ibrav = 0, nat = 8, ntyp = 4
/
ATOMIC_SPECIES
Rb 85.47 Rb.upf
Pa 231.04 Pa.upf
N 14.01 N.upf
O 16.00 O.upf
ATOMIC_POSITIONS crystal
Rb 0.000 0.152 0.000
Rb 0.000 0.848 0.500
Pa 0.500 0.357 0.509
Pa 0.500 0.643 0.009
N 0.000 0.222 0.441
N 0.000 0.778 0.941
O 0.500 0.395 0.838
O 0.500 0.605 0.338
CELL_PARAMETERS angstrom
3.784 0.000 0.000
0.000 7.717 0.000
0.000 0.000 6.700
```

DFT (PBE) results for a relaxed structure of RbPaNO. Values from VASP.

Geometry as Quantum ESPRESSO input:
```
&SYSTEM
  ibrav = 0, nat = 8, ntyp = 4
/
ATOMIC_SPECIES
Rb 85.47 Rb.upf
Pa 231.04 Pa.upf
N 14.01 N.upf
O 16.00 O.upf
ATOMIC_POSITIONS crystal
Rb 0.000 0.167 0.000
Rb 0.000 0.833 0.500
Pa 0.500 0.346 0.508
Pa 0.500 0.654 0.008
N 0.500 0.405 0.839
N 0.500 0.595 0.339
O 0.000 0.216 0.454
O 0.000 0.784 0.954
CELL_PARAMETERS angstrom
4.037 0.000 0.000
0.000 7.536 0.000
0.000 0.000 6.399
```

DFT (PBE) results for a relaxed structure of PaSbNO. Values from VASP.

Geometry as Quantum ESPRESSO input:
```
&SYSTEM
  ibrav = 0, nat = 8, ntyp = 4
/
ATOMIC_SPECIES
Pa 231.04 Pa.upf
Sb 121.76 Sb.upf
N 14.01 N.upf
O 16.00 O.upf
ATOMIC_POSITIONS crystal
Pa 0.250 0.250 0.165
Pa 0.750 0.750 0.835
Sb 0.250 0.750 0.500
Sb 0.750 0.250 0.500
N 0.250 0.250 0.769
N 0.750 0.750 0.231
O 0.250 0.750 0.000
O 0.750 0.250 0.000
CELL_PARAMETERS angstrom
3.822 0.000 0.000
0.000 3.822 0.000
0.000 0.000 8.423
```

Number 1: energy above the lowest structure with this stoichiometry 158 kJ/mol of formula units. Number 2: energy above the lowest structure with this stoichiometry 436 kJ/mol of formula units. Number 3: energy above the lowest structure with this stoichiometry 0 kJ/mol of formula units. Number 4: energy above the lowest structure with this stoichiometry 29 kJ/mol of formula units. Number 5: energy above the lowest structure with this stoichiometry 263 kJ/mol of formula units. Number 6: energy above the lowest structure with this stoichiometry 52 kJ/mol of formula units. Number 7: energy above the lowest structure with this stoichiometry 0 kJ/mol of formula units. Number 8: energy above the lowest structure with this stoichiometry 105 kJ/mol of formula units. Number 9: energy above the lowest structure with this stoichiometry 175 kJ/mol of formula units. Number 10: energy above the lowest structure with this stoichiometry 229 kJ/mol of formula units. Number 11: energy above the lowest structure with this stoichiometry 0 kJ/mol of formula units. Number 12: energy above the lowest structure with this stoichiometry 114 kJ/mol of formula units. Number 13: energy above the lowest structure with this stoichiometry 34 kJ/mol of formula units. Number 14: energy above the lowest structure with this stoichiometry 33 kJ/mol of formula units. Number 15: energy above the lowest structure with this stoichiometry 253 kJ/mol of formula units. Number 16: energy above the lowest structure with this stoichiometry 318 kJ/mol of formula units. Number 17: energy above the lowest structure with this stoichiometry 0 kJ/mol of formula units. Number 18: energy above the lowest structure with this stoichiometry 29 kJ/mol of formula units. Number 19: energy above the lowest structure with this stoichiometry 27 kJ/mol of formula units. Number 20: energy above the lowest structure with this stoichiometry 144 kJ/mol of formula units.